VASP calculation (PBE with a Hubbard U) on Ca2FeMoO6 after structural relaxation.

The structure in POSCAR format:
```
Ca2FeMoO6
1.0
5.599 0.000 -0.312
0.000 5.624 0.000
-2.551 -2.812 4.044
Ca Mo O Fe
2 1 6 1
Direct
0.772 0.750 0.500
0.228 0.250 0.500
0.000 0.500 0.000
0.177 0.683 0.883
0.345 0.739 0.478
0.823 0.799 0.117
0.823 0.317 0.117
0.177 0.201 0.883
0.655 0.261 0.522
0.500 0.000 0.000
```

Computed properties:
Size of the total moment (μB per cell): 4.0
Uncorrected energy (eV per atom): -6.86